Version i
PBE-GGA ZnPtI2N, optimized geometry; ρ = 7.4 g/cm3; D(E_F) = 0.9156 states/eV per atom; spin magnetization = 0.42 μB/atom; symmetry = P4/mmm, No. 123
1.0
5.6708 0.0000 0.0000
0.0000 5.6708 0.0000
0.0000 0.0000 3.6803
Zn Pt I N
1 1 2 1
Direct
0.0000 0.0000 0.0000
0.5000 0.5000 0.5000
0.0000 0.5000 0.0000
0.5000 0.0000 0.0000
0.0000 0.0000 0.5000

Version ii
PBE-GGA ZnPtI2N, optimized geometry; ρ = 7.0 g/cm3; D(E_F) = 0.5424 states/eV per atom; spin magnetization = 0.00 μB/atom; symmetry = P4/mmm, No. 123
1.0
5.7695 0.0000 0.0000
0.0000 5.7695 0.0000
0.0000 0.0000 3.7435
Zn Pt I N
1 1 2 1
Direct
0.0000 0.0000 0.0000
0.5000 0.5000 0.5000
0.0000 0.5000 0.5000
0.5000 0.0000 0.5000
0.5000 0.5000 0.0000

If we sort the structures by their calculated energies, the order from most to least stable is version ii, version i.

Version i
PBE-GGA ZnPtIN2, optimized geometry; ρ = 5.7 g/cm3; D(E_F) = 0.6548 states/eV per atom; spin magnetization = 0.00 μB/atom; symmetry = P4/mmm, No. 123
1.0
3.8330 0.0000 0.0000
0.0000 3.8330 0.0000
0.0000 0.0000 8.2386
Zn Pt I N
1 1 1 2
Direct
0.0000 0.0000 0.0000
0.5000 0.5000 0.5000
0.5000 0.5000 0.0000
0.0000 0.5000 0.5000
0.5000 0.0000 0.5000

Version ii
PBE-GGA ZnPtIN2, optimized geometry; ρ = 7.1 g/cm3; D(E_F) = 0.3962 states/eV per atom; spin magnetization = 0.76 μB/atom; symmetry = P4/mmm, No. 123
1.0
3.9211 0.0000 0.0000
0.0000 3.9211 0.0000
0.0000 0.0000 6.3608
Zn Pt I N
1 1 1 2
Direct
0.0000 0.0000 0.0000
0.5000 0.5000 0.5000
0.0000 0.0000 0.5000
0.0000 0.5000 0.0000
0.5000 0.0000 0.0000

If we sort the structures by their calculated energies, the order from most to least stable is version i, version ii.

Version i
PBE-GGA RbReIN2, optimized geometry; ρ = 3.3 g/cm3; D(E_F) = 0.5602 states/eV per atom; spin magnetization = 0.13 μB/atom; symmetry = P4/mmm, No. 123
1.0
5.4143 0.0000 0.0000
0.0000 5.4143 0.0000
0.0000 0.0000 7.3611
Rb Re I N
1 1 1 2
Direct
0.0000 0.0000 0.0000
0.5000 0.5000 0.5000
0.0000 0.0000 0.5000
0.0000 0.5000 0.0000
0.5000 0.0000 0.0000

Version ii
PBE-GGA RbReIN2, optimized geometry; ρ = 7.1 g/cm3; D(E_F) = 0.4675 states/eV per atom; spin magnetization = 0.04 μB/atom; symmetry = P4/mmm, No. 123
1.0
4.1491 0.0000 0.0000
0.0000 4.1491 0.0000
0.0000 0.0000 5.7611
Rb Re I N
1 1 1 2
Direct
0.0000 0.0000 0.0000
0.5000 0.5000 0.5000
0.5000 0.5000 0.0000
0.0000 0.5000 0.5000
0.5000 0.0000 0.5000

If we sort the structures by their calculated energies, the order from most to least stable is version ii, version i.

Version i
PBE-GGA RbRhI2N, optimized geometry; ρ = 5.6 g/cm3; D(E_F) = 0.5512 states/eV per atom; spin magnetization = 0.00 μB/atom; symmetry = P4/mmm, No. 123
1.0
6.0134 0.0000 0.0000
0.0000 6.0134 0.0000
0.0000 0.0000 3.7734
Rb Rh I N
1 1 2 1
Direct
0.0000 0.0000 0.0000
0.5000 0.5000 0.5000
0.0000 0.5000 0.5000
0.5000 0.0000 0.5000
0.5000 0.5000 0.0000

Version ii
PBE-GGA RbRhI2N, optimized geometry; ρ = 3.1 g/cm3; D(E_F) = 1.4562 states/eV per atom; spin magnetization = 1.00 μB/atom; symmetry = P4/mmm, No. 123
1.0
6.7367 0.0000 0.0000
0.0000 6.7367 0.0000
0.0000 0.0000 5.3507
Rb Rh I N
1 1 2 1
Direct
0.0000 0.0000 0.0000
0.5000 0.5000 0.5000
0.0000 0.5000 0.0000
0.5000 0.0000 0.0000
0.0000 0.0000 0.5000

If we sort the structures by their calculated energies, the order from most to least stable is version i, version ii.